# BaPb2I

An optimized crystal structure of BaPb2I (PBE, Alexandria via LeMat-Bulk).

a = 8.4506 Å, b = 8.4506 Å, c = 8.4506 Å
α = 90.00°, β = 90.00°, γ = 90.00°
Sites, in units of the cell vectors:
Ba1 0.0000 0.0000 0.0000
Ba2 0.0000 0.5000 0.5000
Ba3 0.5000 0.0000 0.5000
Ba4 0.5000 0.5000 0.0000
Pb1 0.2500 0.2500 0.2500
Pb2 0.2500 0.2500 0.7500
Pb3 0.2500 0.7500 0.2500
Pb4 0.2500 0.7500 0.7500
Pb5 0.7500 0.2500 0.2500
Pb6 0.7500 0.2500 0.7500
Pb7 0.7500 0.7500 0.2500
Pb8 0.7500 0.7500 0.7500
I1 0.0000 0.0000 0.5000
I2 0.0000 0.5000 0.0000
I3 0.5000 0.0000 0.0000
I4 0.5000 0.5000 0.5000

**DOS(E_F)**: 11.87 states/eV/cell
**Space group**: No. 225
**Uncorrected formation energy**: -128 meV per atom
**Total magnetic moment**: 0.00 μB/f.u.
**Energy relative to the lowest polymorph listed for this composition**: 102 meV/atom